A relaxed structure of Ba2MgCd4Sn3, computed with GGA-PBE.

Space group   P-4m2 (115)

abc: 4.8454 4.8454 12.5812
angles: 90.00 90.00 90.00
Fractional positions:
Ba 0.0000 0.5000 0.2422
Ba 0.5000 0.0000 0.7578
Mg 0.0000 0.0000 0.5000
Cd 0.0000 0.0000 0.0000
Cd 0.0000 0.5000 0.6353
Cd 0.5000 0.0000 0.3647
Cd 0.5000 0.5000 0.0000
Sn 0.0000 0.5000 0.8635
Sn 0.5000 0.0000 0.1365
Sn 0.5000 0.5000 0.5000

A relaxed structure of AcTbZn4, computed with GGA-PBE.

Polymorph energy (0 for the lowest one)   0 meV per atom
Space group   I-4m2 (119)

abc: 4.2704 4.2704 15.5736
angles: 90.00 90.00 90.00
Fractional positions:
Ac 0.0000 0.0000 0.0000
Ac 0.5000 0.5000 0.5000
Tb 0.0000 0.5000 0.2500
Tb 0.5000 0.0000 0.7500
Zn 0.0000 0.0000 0.4109
Zn 0.0000 0.0000 0.5891
Zn 0.0000 0.5000 0.6718
Zn 0.0000 0.5000 0.8282
Zn 0.5000 0.0000 0.1718
Zn 0.5000 0.0000 0.3282
Zn 0.5000 0.5000 0.0891
Zn 0.5000 0.5000 0.9109

Values for DFT formation energy, eV/atom, ordered as above
-0.391; -0.272
Values for DOS at the Fermi energy, states/eV per cell, ordered as above
2.30; 13.22